(1)
ZrSc3 | meta-GGA SCAN | PBEsol geometry

a = 5.0520 Å, b = 6.4708 Å, c = 5.6198 Å
α = 90.00°, β = 90.00°, γ = 90.00°
With the nearest neighbours (Å) after each atom.
Space group Pmmn (No. 59, origin choice 2)
Symmetry-distinct sites (fractional):
1 Zr 0.2500 0.2500 0.1660 x2  12 Sc 3.12-3.24
2 Sc 0.2500 0.0016 0.6664 x4  8 Sc 3.14-3.28, 4 Zr 3.15-3.24
3 Sc 0.2500 0.7500 0.1602 x2  4 Zr 3.12-3.24, 8 Sc 3.15-3.28

ΔE_f ... 0.0199 eV/atom
Energy relative to the lowest polymorph listed for this composition ... 0.020 eV/atom
Spin magnetization ... 0.0 μB/f.u.
Total energy ... -146.7 eV for the cell shown

(2)
ZrSc3 | meta-GGA SCAN | PBEsol geometry

a = 6.4851 Å, b = 6.4851 Å, c = 5.0524 Å
α = 90.00°, β = 90.00°, γ = 120.00°
With the nearest neighbours (Å) after each atom.
Space group P6_3/mmc (No. 194)
Symmetry-distinct sites (fractional):
1 Zr 0.3333 0.6667 0.2500 x2  12 Sc 3.13-3.24
2 Sc 0.1692 0.3385 0.7500 x6  4 Zr 3.13-3.24, 8 Sc 3.16-3.29

ΔE_f ... 0.0290 eV/atom
Energy relative to the lowest polymorph listed for this composition ... 0.029 eV/atom
Spin magnetization ... 0.0 μB/f.u.
Total energy ... -146.6 eV for the cell shown

(3)
Zr3Sc | meta-GGA SCAN | PBEsol geometry

a = 5.5132 Å, b = 10.1624 Å, c = 6.3880 Å
α = 90.00°, β = 90.00°, γ = 90.00°
With the nearest neighbours (Å) after each atom.
Space group Pnma (No. 62)
Symmetry-distinct sites (fractional):
1 Zr 0.0776 0.2500 0.1319 x4  8 Zr 3.13-3.15, 4 Sc 3.14-3.25
2 Zr 0.2494 0.0016 0.8779 x8  3 Sc 3.13-3.14, 9 Zr 3.13-3.20
3 Sc 0.0881 0.2500 0.6240 x4  10 Zr 3.13-3.25, 2 Sc 3.19

ΔE_f ... 0.0315 eV/atom
Energy relative to the lowest polymorph listed for this composition ... 0.032 eV/atom
Spin magnetization ... 0.0 μB/f.u.
Total energy ... -424.8 eV for the cell shown

(4)
ZrSc2 | meta-GGA SCAN | PBEsol geometry

a = 3.1805 Å, b = 3.1805 Å, c = 13.5621 Å
α = 90.00°, β = 90.00°, γ = 90.00°
With the nearest neighbours (Å) after each atom.
Space group I4/mmm (No. 139)
Symmetry-distinct sites (fractional):
1 Zr 0.0000 0.0000 0.0000 x2  8 Sc 3.13, 4 Zr 3.18
2 Sc 0.0000 0.0000 0.3392 x4  4 Zr 3.13, 8 Sc 3.18-3.30

ΔE_f ... 0.0467 eV/atom
Spin magnetization ... 0.0 μB/f.u.
Total energy ... -118.1 eV for the cell shown

(5)
ZrSc2 | meta-GGA SCAN | PBEsol geometry

a = 11.5973 Å, b = 3.2275 Å, c = 7.5549 Å
α = 90.00°, β = 103.23°, γ = 90.00°
With the nearest neighbours (Å) after each atom.
Space group Cm (No. 8)
Symmetry-distinct sites (fractional):
1 Zr 0.0000 0.0000 0.0000 x2  8 Sc 3.13-3.25, 4 Zr 3.15-3.23
2 Zr 0.1568 0.5000 0.3248 x2  8 Sc 3.11-3.31, 4 Zr 3.15-3.23
3 Sc 0.1056 0.5000 0.7176 x2  9 Sc 3.13-3.27, 3 Zr 3.14-3.16
4 Sc 0.2756 0.0000 0.0543 x2  5 Zr 3.13-3.17, 7 Sc 3.13-3.27
5 Sc 0.3303 0.0000 0.6667 x2  8 Sc 3.13-3.23, 4 Zr 3.25-3.31
6 Sc 0.4393 0.5000 0.3849 x2  4 Zr 3.11-3.20, 8 Sc 3.16-3.23

ΔE_f ... 0.0138 eV/atom
Spin magnetization ... 0.0 μB/f.u.
Total energy ... -236.5 eV for the cell shown

(6)
ZrSc2 | meta-GGA SCAN | PBEsol geometry

a = 3.1690 Å, b = 4.4876 Å, c = 9.5346 Å
α = 90.00°, β = 90.00°, γ = 90.00°
With the nearest neighbours (Å) after each atom.
Space group Immm (No. 71)
Symmetry-distinct sites (fractional):
1 Zr 0.0000 0.0000 0.0000 x2  10 Sc 3.16-3.20, 2 Zr 3.17
2 Sc 0.0000 0.0000 0.3361 x4  7 Sc 3.13-3.20, 5 Zr 3.16-3.20

ΔE_f ... 0.0589 eV/atom
Spin magnetization ... 0.0 μB/f.u.
Total energy ... -118.0 eV for the cell shown

(7)
ZrSc3 | meta-GGA SCAN | PBEsol geometry

a = 5.5476 Å, b = 10.2625 Å, c = 6.4390 Å
α = 90.00°, β = 90.00°, γ = 90.00°
With the nearest neighbours (Å) after each atom.
Space group Pnma (No. 62)
Symmetry-distinct sites (fractional):
1 Zr 0.0803 0.2500 0.1302 x4  10 Sc 3.14-3.27, 2 Zr 3.17
2 Sc 0.0850 0.2500 0.6217 x4  8 Sc 3.16-3.23, 4 Zr 3.16-3.27
3 Sc 0.2433 0.0005 0.8751 x8  3 Zr 3.14-3.17, 9 Sc 3.14-3.27

ΔE_f ... 0.0431 eV/atom
Energy relative to the lowest polymorph listed for this composition ... 0.043 eV/atom
Spin magnetization ... 0.0 μB/f.u.
Total energy ... -293.0 eV for the cell shown

(8)
ZrSc2 | meta-GGA SCAN | PBEsol geometry

a = 3.1803 Å, b = 3.1803 Å, c = 7.8177 Å
α = 90.00°, β = 90.00°, γ = 120.00°
With the nearest neighbours (Å) after each atom.
Space group P-3m1 (No. 164)
Symmetry-distinct sites (fractional):
1 Zr 0.0000 0.0000 0.0000 x1  6 Sc 3.13, 6 Zr 3.18
2 Sc 0.3333 0.6667 0.6758 x2  3 Zr 3.13, 9 Sc 3.18-3.31

ΔE_f ... 0.0566 eV/atom
Spin magnetization ... 0.0 μB/f.u.
Total energy ... -59.0 eV for the cell shown

Q: What is the ΔE_f in the sixth record?
A: 0.0589 eV/atom